Entry 1:
This record from the Alexandria database describes a relaxed LiSbAu2 crystal. The functional is PBE.

POSCAR file:
```
LiSbAu2
1.0
-0.192 3.663 2.112
-4.157 0.223 -0.764
-3.860 -2.658 8.501
Sb Au Li
2 4 2
direct
0.000 0.000 0.000
0.750 0.250 0.500
0.619 0.125 0.250
0.131 0.625 0.250
0.375 0.381 0.750
0.875 0.869 0.750
0.500 0.500 0.000
0.250 0.750 0.500
```

Formation energy (no corrections) = -0.170 eV/atom
DFT total energy = -3.318 eV per atom
SG = I-42d (122)

=====

Entry 2:
This record from the Alexandria database describes a relaxed ScSnIr3 crystal. The functional is PBE.

POSCAR file:
```
ScSnIr3
1.0
4.817 0.000 0.000
0.000 4.817 0.000
0.000 0.000 4.817
Sc Ir Sn
1 3 1
direct
0.500 0.500 0.500
0.000 0.500 0.000
0.000 0.000 0.500
0.500 0.000 0.000
0.000 0.000 0.000
```

Formation energy = 1.06 eV per atom
DFT total energy = -6.327 eV per atom
SG = Pm-3m (221)

=====

Entry 3:
This record from the Alexandria database describes a relaxed MgCoPb crystal. The functional is PBE.

POSCAR file:
```
MgCoPb
1.0
4.401 0.000 0.000
2.200 3.811 0.000
2.200 1.270 3.593
Co Mg Pb
1 1 1
direct
0.250 0.250 0.250
0.000 0.000 0.000
0.500 0.500 0.500
```

Formation energy = 0.19 eV per atom
DFT total energy = -3.947 eV per atom
SG = F-43m (216)

=====

Entry 4:
This record from the Alexandria database describes a relaxed Li13Ca3 crystal. The functional is PBE.

POSCAR file:
```
Li13Ca3
1.0
-2.313 6.211 0.169
-3.851 -4.956 2.135
3.800 1.155 9.535
Li Ca
13 3
direct
0.980 0.487 0.734
0.503 0.497 0.736
0.513 0.020 0.734
0.801 0.617 0.000
0.383 0.199 0.000
0.810 0.190 0.000
0.980 0.487 0.266
0.503 0.497 0.264
0.513 0.020 0.266
0.182 0.818 0.500
0.656 0.825 0.500
0.175 0.344 0.500
0.666 0.334 0.500
0.003 0.997 0.768
0.327 0.673 0.000
0.003 0.997 0.232
```

Formation energy = 0.04 eV per atom
DFT total energy = -1.887 eV per atom
SG = Amm2 (38)

=====

Entry 5:
This record from the Alexandria database describes a relaxed LiCuSbRh crystal. The functional is PBE.

POSCAR file:
```
LiCuSbRh
1.0
-0.831 -2.015 -3.827
3.313 -1.670 -2.374
0.483 -4.365 -0.341
Sb Rh Cu Li
1 1 1 1
direct
0.000 0.000 0.000
0.750 0.750 0.750
0.500 0.500 0.500
0.250 0.250 0.250
```

Formation energy (no corrections) = -0.329 eV/atom
DFT total energy = -4.700 eV per atom
SG = F-43m (216)

=====

Entry 6:
This record from the Alexandria database describes a relaxed Cu4BiS5 crystal. The functional is PBE.

POSCAR file:
```
Cu4BiS5
1.0
6.190 0.000 0.000
3.095 5.344 0.000
3.095 0.000 5.344
Cu Bi S
4 1 5
direct
0.439 0.415 0.802
0.854 0.802 0.585
0.241 0.198 0.415
0.656 0.585 0.198
0.079 0.000 0.000
0.802 0.450 0.801
0.252 0.801 0.550
0.603 0.199 0.450
0.053 0.550 0.199
0.532 0.000 0.000
```

Formation energy (no corrections) = -0.095 eV/atom
DFT total energy = -4.185 eV per atom
SG = I4 (79)

=====

Entry 7:
This record from the Alexandria database describes a relaxed LaFeIr2 crystal. The functional is PBE.

POSCAR file:
```
LaFeIr2
1.0
-1.840 0.664 -3.932
-2.402 -3.169 -1.865
-5.520 0.967 0.293
Fe Ir La
1 2 1
direct
0.313 0.313 0.061
0.999 0.999 0.002
0.688 0.688 0.934
0.500 0.500 0.503
```

Formation energy = -0.29 eV per atom
DFT total energy = -8.064 eV per atom
SG = R3m (160)

=====

> Look up the DFT total energy of the third one.

-3.947 eV per atom